Below is a relaxed structure of Dy3Mg2Cd3, with properties calculated at the GGA-PBE level.

a = 3.7303 Å, b = 5.2842 Å, c = 10.8803 Å
α = 104.05°, β = 99.87°, γ = 90.00°
Element x y z (fractional)
Dy 0.6258 0.6258 0.2517
Dy 0.3742 0.3742 0.7483
Dy 0.5000 0.0000 0.0000
Mg 0.7393 0.2393 0.4787
Mg 0.2607 0.7607 0.5213
Cd 0.1261 0.1261 0.2523
Cd 0.0000 0.5000 0.0000
Cd 0.8739 0.8739 0.7477

Summary:
total magnetic moment: 0.000 μB/atom
space group: Immm, No. 71


Below is a relaxed structure of Dy3Mg2Cd, with properties calculated at the GGA-PBE level.

a = 3.7937 Å, b = 3.7937 Å, c = 11.1771 Å
α = 90.00°, β = 90.00°, γ = 90.00°
Element x y z (fractional)
Dy 0.0000 0.0000 0.0000
Dy 0.0000 0.0000 0.6644
Dy 0.0000 0.0000 0.3356
Mg 0.5000 0.5000 0.8342
Mg 0.5000 0.5000 0.1658
Cd 0.5000 0.5000 0.5000

Summary:
total magnetic moment: 0.000 μB/atom
space group: P4/mmm, No. 123


Below is a relaxed structure of DyMgCd, with properties calculated at the GGA-PBE level.

a = 3.4503 Å, b = 3.4503 Å, c = 6.7397 Å
α = 104.83°, β = 104.83°, γ = 90.00°
Element x y z (fractional)
Mg 0.6021 0.6021 0.2043
Dy 0.2893 0.2893 0.5786
Cd 0.9586 0.9586 0.9172

Summary:
total magnetic moment: 0.048 μB/atom
space group: I4mm, No. 107


Below is a relaxed structure of Dy2Mg5Cd4, with properties calculated at the GGA-PBE level.

a = 6.0849 Å, b = 6.4096 Å, c = 8.8285 Å
α = 80.59°, β = 69.84°, γ = 61.66°
Element x y z (fractional)
Dy 0.8305 0.0000 0.3389
Dy 0.1695 0.0000 0.6611
Mg 0.5000 0.0000 0.0000
Mg 0.0000 0.5000 0.0000
Mg 0.5000 0.5000 0.0000
Mg 0.2500 0.5000 0.5000
Mg 0.7500 0.5000 0.5000
Cd 0.5089 0.2597 0.7224
Cd 0.4911 0.7403 0.2776
Cd 0.2314 0.2597 0.2776
Cd 0.7686 0.7403 0.7224

Summary:
total magnetic moment: 0.000 μB/atom
space group: Fmmm, No. 69


Below is a relaxed structure of Dy3MgCd5, with properties calculated at the GGA-PBE level.

a = 6.2854 Å, b = 9.0205 Å, c = 9.0203 Å
α = 120.00°, β = 90.00°, γ = 90.00°
Element x y z (fractional)
Dy 0.7500 0.3463 0.3463
Dy 0.7500 0.0000 0.6537
Dy 0.7500 0.6537 0.0000
Dy 0.2500 0.6537 0.6537
Dy 0.2500 0.0000 0.3463
Dy 0.2500 0.3463 0.0000
Mg 0.0000 0.0000 0.0000
Mg 0.5000 0.0000 0.0000
Cd 0.0000 0.6667 0.3333
Cd 0.5000 0.3333 0.6667
Cd 0.0000 0.3333 0.6667
Cd 0.5000 0.6667 0.3333
Cd 0.7500 0.6823 0.6823
Cd 0.7500 0.0000 0.3177
Cd 0.7500 0.3177 0.0000
Cd 0.2500 0.3177 0.3177
Cd 0.2500 0.0000 0.6823
Cd 0.2500 0.6823 0.0000

Summary:
total magnetic moment: 0.000 μB/atom
space group: P6_3/mcm, No. 193


Below is a relaxed structure of Dy12Mg2Cd5, with properties calculated at the GGA-PBE level.

a = 10.5929 Å, b = 8.1831 Å, c = 8.3273 Å
α = 80.21°, β = 90.00°, γ = 130.33°
Element x y z (fractional)
Dy 0.8629 0.7259 0.1326
Dy 0.0146 0.6426 0.8026
Dy 0.6280 0.6426 0.8026
Dy 0.1521 0.7870 0.3944
Dy 0.6349 0.7870 0.3944
Dy 0.4229 0.8458 0.7092
Dy 0.5771 0.1542 0.2908
Dy 0.8479 0.2130 0.6056
Dy 0.3651 0.2130 0.6056
Dy 0.9854 0.3574 0.1974
Dy 0.3720 0.3574 0.1974
Dy 0.1371 0.2741 0.8674
Mg 0.7258 0.0000 0.0000
Mg 0.2742 0.0000 0.0000
Cd 0.2455 0.4909 0.4790
Cd 0.3687 0.7373 0.1006
Cd 0.0000 0.0000 0.5000
Cd 0.6313 0.2627 0.8994
Cd 0.7545 0.5091 0.5210

Summary:
total magnetic moment: 0.000 μB/atom
space group: C2/m, No. 12


Below is a relaxed structure of Dy4Mg3Cd, with properties calculated at the GGA-PBE level.

a = 3.7796 Å, b = 3.7796 Å, c = 15.0648 Å
α = 90.00°, β = 90.00°, γ = 90.00°
Element x y z (fractional)
Mg 0.5000 0.5000 0.2496
Mg 0.5000 0.5000 0.5000
Mg 0.5000 0.5000 0.7504
Cd 0.5000 0.5000 0.0000
Dy 0.0000 0.0000 0.8771
Dy 0.0000 0.0000 0.1229
Dy 0.0000 0.0000 0.3735
Dy 0.0000 0.0000 0.6265

Summary:
total magnetic moment: 0.000 μB/atom
space group: P4/mmm, No. 123


Below is a relaxed structure of Dy3Mg2Cd7, with properties calculated at the GGA-PBE level.

a = 4.7411 Å, b = 5.1598 Å, c = 12.3356 Å
α = 90.16°, β = 90.00°, γ = 90.00°
Element x y z (fractional)
Dy 0.5000 0.5000 0.0000
Dy 0.0000 0.0029 0.3277
Dy 0.0000 0.9971 0.6723
Mg 0.5000 0.5040 0.2882
Mg 0.5000 0.4960 0.7118
Cd 0.5000 0.2498 0.4987
Cd 0.5000 0.7502 0.5013
Cd 0.0000 0.5015 0.1603
Cd 0.0000 0.0000 0.0000
Cd 0.0000 0.4985 0.8397
Cd 0.5000 0.9980 0.8454
Cd 0.5000 0.0020 0.1546

Summary:
total magnetic moment: 0.000 μB/atom
space group: P2/m, No. 10


Below is a relaxed structure of DyMg4Cd4, with properties calculated at the GGA-PBE level.

a = 6.5676 Å, b = 6.5676 Å, c = 9.9640 Å
α = 90.00°, β = 90.00°, γ = 90.00°
Element x y z (fractional)
Dy 0.0000 0.0000 0.0000
Dy 0.5000 0.5000 0.5000
Mg 0.2201 0.5000 0.9251
Mg 0.7799 0.5000 0.9251
Mg 0.5000 0.7799 0.0749
Mg 0.5000 0.2201 0.0749
Mg 0.0000 0.7201 0.4251
Mg 0.0000 0.2799 0.4251
Mg 0.2799 0.0000 0.5749
Mg 0.7201 0.0000 0.5749
Cd 0.5000 0.7676 0.7806
Cd 0.5000 0.2324 0.7806
Cd 0.7676 0.5000 0.2194
Cd 0.2324 0.5000 0.2194
Cd 0.2676 0.0000 0.2806
Cd 0.7324 0.0000 0.2806
Cd 0.0000 0.2676 0.7194
Cd 0.0000 0.7324 0.7194

Summary:
total magnetic moment: 0.000 μB/atom
space group: P4_2/nmc, No. 137


Below is a relaxed structure of Dy5MgCd6, with properties calculated at the GGA-PBE level.

a = 5.1873 Å, b = 9.0687 Å, c = 9.0687 Å
α = 119.74°, β = 106.61°, γ = 106.61°
Element x y z (fractional)
Mg 0.0000 0.0000 0.0000
Cd 0.2412 0.0800 0.4029
Cd 0.7588 0.5971 0.9200
Cd 0.7379 0.2375 0.2375
Cd 0.2621 0.7625 0.7625
Cd 0.2412 0.4029 0.0800
Cd 0.7588 0.9200 0.5971
Dy 0.5000 0.1668 0.8332
Dy 0.0000 0.3323 0.6677
Dy 0.5000 0.5000 0.5000
Dy 0.0000 0.6677 0.3323
Dy 0.5000 0.8332 0.1668

Summary:
total magnetic moment: 0.000 μB/atom
space group: Immm, No. 71


Below is a relaxed structure of Dy4Mg3Cd4, with properties calculated at the GGA-PBE level.

a = 3.3646 Å, b = 9.3989 Å, c = 10.3881 Å
α = 116.90°, β = 99.32°, γ = 90.00°
Element x y z (fractional)
Dy 0.3354 0.1503 0.6709
Dy 0.6646 0.4794 0.3291
Dy 0.6646 0.8497 0.3291
Dy 0.3354 0.5206 0.6709
Mg 0.0916 0.0916 0.1832
Mg 0.9084 0.9084 0.8168
Mg 0.0000 0.5000 0.0000
Cd 0.2752 0.7752 0.5504
Cd 0.7248 0.2248 0.4496
Cd 0.5000 0.7887 0.0000
Cd 0.5000 0.2113 0.0000

Summary:
total magnetic moment: 0.000 μB/atom
space group: Immm, No. 71


Below is a relaxed structure of Dy6MgCd5, with properties calculated at the GGA-PBE level.

a = 5.2958 Å, b = 7.4883 Å, c = 8.4036 Å
α = 90.00°, β = 71.63°, γ = 90.00°
Element x y z (fractional)
Mg 0.0000 0.0000 0.0000
Cd 0.6655 0.5000 0.6690
Cd 0.3402 0.0000 0.3196
Cd 0.0000 0.5000 0.0000
Cd 0.6598 0.0000 0.6804
Cd 0.3345 0.5000 0.3310
Dy 0.8317 0.7509 0.3366
Dy 0.8317 0.2491 0.3366
Dy 0.5000 0.2534 0.0000
Dy 0.5000 0.7466 0.0000
Dy 0.1683 0.7509 0.6634
Dy 0.1683 0.2491 0.6634

Summary:
total magnetic moment: 0.000 μB/atom
space group: Cmmm, No. 65


Number 1: electronic total energy -21.4 eV for the cell shown. Number 2: electronic total energy -18.9 eV for the cell shown. Number 3: electronic total energy -7.6 eV for the cell shown. Number 4: electronic total energy -20.9 eV for the cell shown. Number 5: electronic total energy -44.6 eV for the cell shown. Number 6: electronic total energy -64.5 eV for the cell shown. Number 7: electronic total energy -25.2 eV for the cell shown. Number 8: electronic total energy -25.0 eV for the cell shown. Number 9: electronic total energy -30.3 eV for the cell shown. Number 10: electronic total energy -33.7 eV for the cell shown. Number 11: electronic total energy -27.6 eV for the cell shown. Number 12: electronic total energy -37.2 eV for the cell shown.